RbBeCoH2 | GGA-PBE | optimized geometry

The space group is P4/mmm (No. 123) and the conventional cell measures 3.8144, 3.8144 and 6.6759 Å, with angles of 90.00, 90.00 and 90.00 degrees. The distinct sites, in fractional coordinates, are Rb at (0.0000, 0.0000, 0.0000), Be at (0.0000, 0.0000, 0.5000), Co at (0.5000, 0.5000, 0.0000) and H at (0.0000, 0.5000, 0.5000).

The calculation puts the total energy at -2.19 eV per atom. As for the size of the total moment: 1.9 Bohr magnetons per cell.